The following is a DFT calculation (PBE) of a geometry-optimized InFe2Au structure.

Output
- E: -21.91 eV per cell
- Total magnetization: 5.40 μB per cell
- Calculated volume: 16.0 Å³/atom

The structure in CIF format:
```
data_InFe2Au
_cell_length_a 2.875
_cell_length_b 2.875
_cell_length_c 7.740
_cell_angle_alpha 90.00
_cell_angle_beta 90.00
_cell_angle_gamma 90.00
_symmetry_space_group_name_H-M 'P 4/m m m'
_symmetry_Int_Tables_number 123
_symmetry_space_group_name_Hall '-P 4 2'
loop_
_atom_site_label
_atom_site_fract_x
_atom_site_fract_y
_atom_site_fract_z
In1 0.000 0.000 0.000
Fe1 0.500 0.500 0.259
Au1 0.000 0.000 0.500
```



The following is a DFT calculation (PBE) of a geometry-optimized Pa3BN6 structure.

Output
- E: -396.84 eV per cell
- Total magnetization: 0.00 μB per cell
- Calculated volume: 13.1 Å³/atom
- Formation energy without anion corrections: -136.0 kJ/mol of atoms

The structure in CIF format:
```
data_Pa3BN6
_cell_length_a 9.020
_cell_length_b 11.383
_cell_length_c 5.118
_cell_angle_alpha 90.00
_cell_angle_beta 90.00
_cell_angle_gamma 90.00
_symmetry_space_group_name_H-M 'C m c 21'
_symmetry_Int_Tables_number 36
loop_
_symmetry_equiv_pos_as_xyz
'x,y,z'
'-x,-y,z+1/2'
'-x,y,z'
'x,-y,z+1/2'
'x+1/2,y+1/2,z'
'-x+1/2,-y+1/2,z+1/2'
'-x+1/2,y+1/2,z'
'x+1/2,-y+1/2,z+1/2'
loop_
_atom_site_label
_atom_site_fract_x
_atom_site_fract_y
_atom_site_fract_z
Pa1 0.000 0.109 0.000
Pa2 0.192 0.386 0.966
B1 0.000 0.302 0.394
N1 0.000 0.292 0.723
N2 0.000 0.431 0.266
N3 0.142 0.236 0.264
N4 0.159 0.015 0.730
```



The following is a DFT calculation (PBE) of a geometry-optimized Ga2As2Au structure.

Output
- E: -36.05 eV per cell
- Total magnetization: 0.00 μB per cell
- Calculated volume: 19.8 Å³/atom

The structure in CIF format:
```
data_Ga2As2Au
_cell_length_a 7.362
_cell_length_b 7.362
_cell_length_c 3.662
_cell_angle_alpha 90.00
_cell_angle_beta 90.00
_cell_angle_gamma 90.00
_symmetry_space_group_name_H-M 'P 4/m b m'
_symmetry_Int_Tables_number 127
_symmetry_space_group_name_Hall '-P 4 2ab'
loop_
_atom_site_label
_atom_site_fract_x
_atom_site_fract_y
_atom_site_fract_z
Ga1 0.142 0.358 0.000
As1 0.161 0.661 0.500
Au1 0.000 0.000 0.500
```



The following is a DFT calculation (PBE) of a geometry-optimized Rb2BaCu2Br7 structure.

Output
- E: -77.12 eV per cell
- Total magnetization: 0.00 μB per cell
- Calculated volume: 31.2 Å³/atom
- Formation energy without anion corrections: -119.0 kJ/mol of atoms

The structure in CIF format:
```
data_Rb2BaCu2Br7
_cell_length_a 7.412
_cell_length_b 7.412
_cell_length_c 14.140
_cell_angle_alpha 90.00
_cell_angle_beta 105.12
_cell_angle_gamma 90.00
_symmetry_space_group_name_H-M 'C 1 2/m 1'
_symmetry_Int_Tables_number 12
loop_
_symmetry_equiv_pos_as_xyz
'x,y,z'
'-x,-y,-z'
'-x,y,-z'
'x,-y,z'
'x+1/2,y+1/2,z'
'-x+1/2,-y+1/2,-z'
'-x+1/2,y+1/2,-z'
'x+1/2,-y+1/2,z'
loop_
_atom_site_label
_atom_site_fract_x
_atom_site_fract_y
_atom_site_fract_z
Rb1 0.181 0.000 0.362
Ba1 0.000 0.000 0.000
Cu1 0.096 0.500 0.196
Br1 0.000 0.500 0.000
Br2 0.164 0.250 0.825
Br3 0.190 0.500 0.382
```



total magnetization of number 2 (Pa3BN6)? 0.00 μB per cell



Which value of total magnetization does entry 2 give? 0.00 μB per cell



What did the second record say?
The following is a DFT calculation (PBE) of a geometry-optimized Pa3BN6 structure.

Output
- E: -396.84 eV per cell
- Total magnetization: 0.00 μB per cell
- Calculated volume: 13.1 Å³/atom
- Formation energy without anion corrections: -136.0 kJ/mol of atoms

The structure in CIF format:
```
data_Pa3BN6
_cell_length_a 9.020
_cell_length_b 11.383
_cell_length_c 5.118
_cell_angle_alpha 90.00
_cell_angle_beta 90.00
_cell_angle_gamma 90.00
_symmetry_space_group_name_H-M 'C m c 21'
_symmetry_Int_Tables_number 36
loop_
_symmetry_equiv_pos_as_xyz
'x,y,z'
'-x,-y,z+1/2'
'-x,y,z'
'x,-y,z+1/2'
'x+1/2,y+1/2,z'
'-x+1/2,-y+1/2,z+1/2'
'-x+1/2,y+1/2,z'
'x+1/2,-y+1/2,z+1/2'
loop_
_atom_site_label
_atom_site_fract_x
_atom_site_fract_y
_atom_site_fract_z
Pa1 0.000 0.109 0.000
Pa2 0.192 0.386 0.966
B1 0.000 0.302 0.394
N1 0.000 0.292 0.723
N2 0.000 0.431 0.266
N3 0.142 0.236 0.264
N4 0.159 0.015 0.730
```



Please write out number 4 again, unchanged.
The following is a DFT calculation (PBE) of a geometry-optimized Rb2BaCu2Br7 structure.

Output
- E: -77.12 eV per cell
- Total magnetization: 0.00 μB per cell
- Calculated volume: 31.2 Å³/atom
- Formation energy without anion corrections: -119.0 kJ/mol of atoms

The structure in CIF format:
```
data_Rb2BaCu2Br7
_cell_length_a 7.412
_cell_length_b 7.412
_cell_length_c 14.140
_cell_angle_alpha 90.00
_cell_angle_beta 105.12
_cell_angle_gamma 90.00
_symmetry_space_group_name_H-M 'C 1 2/m 1'
_symmetry_Int_Tables_number 12
loop_
_symmetry_equiv_pos_as_xyz
'x,y,z'
'-x,-y,-z'
'-x,y,-z'
'x,-y,z'
'x+1/2,y+1/2,z'
'-x+1/2,-y+1/2,-z'
'-x+1/2,y+1/2,-z'
'x+1/2,-y+1/2,z'
loop_
_atom_site_label
_atom_site_fract_x
_atom_site_fract_y
_atom_site_fract_z
Rb1 0.181 0.000 0.362
Ba1 0.000 0.000 0.000
Cu1 0.096 0.500 0.196
Br1 0.000 0.500 0.000
Br2 0.164 0.250 0.825
Br3 0.190 0.500 0.382
```